First-principles (PBE-GGA) data for a geometry-optimized Ca2InSe2 structure, as listed in Alexandria via LeMat-Bulk.

Properties
Energy relative to the elements, uncorrected   -1.2959 eV per atom
Crystal system   tetragonal
Calculated total energy   -40.38 eV/cell
Calculated density   4.49 g cm⁻³
Volume   26.09 Å³ per atom
Magnetization   0.0 μB per formula unit
Fermi-level density of states   2.64 states/eV per cell

Cell: 8.239 8.239 3.843 Å, 90.00 90.00 90.00°
Atoms (fractional coordinates):
Ca (0.156, 0.344, 0.000)
Ca (0.344, 0.844, 0.000)
Ca (0.656, 0.156, 0.000)
Ca (0.844, 0.656, 0.000)
In (0.000, 0.000, 0.500)
In (0.500, 0.500, 0.500)
Se (0.149, 0.649, 0.500)
Se (0.351, 0.149, 0.500)
Se (0.649, 0.851, 0.500)
Se (0.851, 0.351, 0.500)


First-principles (PBE-GGA) data for a geometry-optimized AcGa2 structure, as listed in Alexandria via LeMat-Bulk.

Properties
DFT formation energy   -0.306 eV per atom
Crystal system   tetragonal
Calculated total energy   -22.16 eV/cell
Calculated density   7.93 g cm⁻³
Volume   25.58 Å³ per atom
Magnetization   0.0 μB per formula unit
Fermi-level density of states   4.45 states/eV per cell
Distance to the lowest polymorph of the same formula   315 meV/atom

Cell: 3.649 3.649 11.528 Å, 90.00 90.00 90.00°
Atoms (fractional coordinates):
Ac (0.000, 0.000, 0.000)
Ac (0.500, 0.500, 0.500)
Ga (0.000, 0.000, 0.303)
Ga (0.000, 0.000, 0.697)
Ga (0.500, 0.500, 0.197)
Ga (0.500, 0.500, 0.803)


First-principles (PBE-GGA) data for a geometry-optimized PmFe2SiH structure, as listed in Alexandria via LeMat-Bulk.

Properties
Crystal system   orthorhombic
Calculated total energy   -65.19 eV/cell
Calculated density   6.93 g cm⁻³
Volume   13.69 Å³ per atom
Magnetization   3.7 μB per formula unit
Fermi-level density of states   4.86 states/eV per cell

Cell: 5.592 5.592 7.181 Å, 90.00 90.00 142.44°
Atoms (fractional coordinates):
Pm (0.045, 0.955, 0.750)
Pm (0.955, 0.045, 0.250)
Fe (0.327, 0.673, 0.556)
Fe (0.327, 0.673, 0.944)
Fe (0.673, 0.327, 0.056)
Fe (0.673, 0.327, 0.444)
Si (0.234, 0.766, 0.250)
Si (0.766, 0.234, 0.750)
H (0.500, 0.500, 0.000)
H (0.500, 0.500, 0.500)


First-principles (PBE-GGA) data for a geometry-optimized MnBr2N structure, as listed in Alexandria via LeMat-Bulk.

Properties
Energy relative to the elements, uncorrected   1.3685 eV per atom
Crystal system   cubic
Calculated total energy   -61.47 eV/cell
Calculated density   5.29 g cm⁻³
Volume   17.94 Å³ per atom
Magnetization   4.8 μB per formula unit
Fermi-level density of states   26.55 states/eV per cell
Distance to the lowest polymorph of the same formula   661 meV/atom

Cell: 6.597 6.597 6.597 Å, 90.00 90.00 90.00°
Atoms (fractional coordinates):
Mn (0.000, 0.000, 0.000)
Mn (0.000, 0.500, 0.500)
Mn (0.500, 0.000, 0.500)
Mn (0.500, 0.500, 0.000)
Br (0.250, 0.250, 0.250)
Br (0.250, 0.250, 0.750)
Br (0.250, 0.750, 0.250)
Br (0.250, 0.750, 0.750)
Br (0.750, 0.250, 0.250)
Br (0.750, 0.250, 0.750)
Br (0.750, 0.750, 0.250)
Br (0.750, 0.750, 0.750)
N (0.000, 0.000, 0.500)
N (0.000, 0.500, 0.000)
N (0.500, 0.000, 0.000)
N (0.500, 0.500, 0.500)


First-principles (PBE-GGA) data for a geometry-optimized AcPmBiAu structure, as listed in Alexandria via LeMat-Bulk.

Properties
DFT formation energy   -0.670 eV per atom
Crystal system   cubic
Calculated total energy   -74.79 eV/cell
Calculated density   10.52 g cm⁻³
Volume   30.71 Å³ per atom
Magnetization   0.2 μB per formula unit
Fermi-level density of states   20.42 states/eV per cell

Cell: 7.891 7.891 7.891 Å, 90.00 90.00 90.00°
Atoms (fractional coordinates):
Ac (0.000, 0.000, 0.000)
Ac (0.000, 0.500, 0.500)
Ac (0.500, 0.000, 0.500)
Ac (0.500, 0.500, 0.000)
Pm (0.000, 0.000, 0.500)
Pm (0.000, 0.500, 0.000)
Pm (0.500, 0.000, 0.000)
Pm (0.500, 0.500, 0.500)
Bi (0.250, 0.250, 0.250)
Bi (0.250, 0.750, 0.750)
Bi (0.750, 0.250, 0.750)
Bi (0.750, 0.750, 0.250)
Au (0.250, 0.250, 0.750)
Au (0.250, 0.750, 0.250)
Au (0.750, 0.250, 0.250)
Au (0.750, 0.750, 0.750)


First-principles (PBE-GGA) data for a geometry-optimized NaInC structure, as listed in Alexandria via LeMat-Bulk.

Properties
DFT formation energy   0.999 eV per atom
Crystal system   monoclinic
Calculated total energy   -41.14 eV/cell
Calculated density   3.36 g cm⁻³
Volume   24.68 Å³ per atom
Magnetization   0.0 μB per formula unit
Fermi-level density of states   0.66 states/eV per cell

Cell: 8.370 5.981 6.346 Å, 90.00 111.24 90.00°
Atoms (fractional coordinates):
Na (0.121, 0.000, 0.369)
Na (0.379, 0.500, 0.631)
Na (0.621, 0.500, 0.369)
Na (0.879, 0.000, 0.631)
In (0.190, 0.423, 0.992)
In (0.310, 0.923, 0.008)
In (0.690, 0.923, 0.992)
In (0.810, 0.423, 0.008)
C (0.198, 0.173, 0.760)
C (0.302, 0.673, 0.240)
C (0.698, 0.673, 0.760)
C (0.802, 0.173, 0.240)